Entry from Alexandria: crystalline Na2B2H7 at its relaxed geometry (GGA-PBE).

Total energy (eV/atom): -3.7184
Energy relative to the lowest polymorph listed for this composition (kJ/mol of formula units): 12

abc: 5.726 4.129 5.726
angles: 67.36 100.00 112.64
Sites, in units of the cell vectors:
H1 0.794 0.129 0.206
H2 0.912 0.675 0.367
H3 0.633 0.675 0.088
H4 0.206 0.871 0.794
H5 0.367 0.325 0.912
H6 0.000 0.000 0.000
H7 0.088 0.325 0.633
Na1 0.754 0.500 0.754
Na2 0.246 0.500 0.246
B1 0.190 0.147 0.810
B2 0.810 0.853 0.190

Entry from Alexandria: crystalline NaB3H at its relaxed geometry (GGA-PBE).

Total energy (eV/atom): -3.1471
Energy relative to the lowest polymorph listed for this composition (kJ/mol of formula units): 0

abc: 3.449 3.449 3.449
angles: 90.00 90.00 90.00
Sites, in units of the cell vectors:
B1 0.000 0.500 0.000
B2 0.000 0.000 0.500
B3 0.500 0.000 0.000
Na1 0.500 0.500 0.500
H1 0.000 0.000 0.000

Entry from Alexandria: crystalline NaB6H6 at its relaxed geometry (GGA-PBE).

Total energy (eV/atom): -5.0777

abc: 7.010 6.992 10.526
angles: 90.00 90.00 95.54
Sites, in units of the cell vectors:
H1 0.016 0.390 0.765
H2 0.484 0.110 0.265
H3 0.370 0.699 0.177
H4 0.882 0.989 0.898
H5 0.202 0.713 0.913
H6 0.382 0.489 0.602
H7 0.124 0.125 0.552
H8 0.624 0.625 0.948
H9 0.789 0.870 0.167
H10 0.798 0.287 0.087
H11 0.984 0.610 0.235
H12 0.630 0.301 0.823
H13 0.298 0.787 0.413
H14 0.618 0.511 0.398
H15 0.711 0.630 0.667
H16 0.870 0.199 0.323
H17 0.130 0.801 0.677
H18 0.118 0.011 0.102
H19 0.702 0.213 0.587
H20 0.876 0.875 0.448
H21 0.211 0.130 0.833
H22 0.516 0.890 0.735
H23 0.376 0.375 0.052
H24 0.289 0.370 0.333
B1 0.672 0.169 0.052
B2 0.074 0.676 0.604
B3 0.328 0.831 0.948
B4 0.828 0.331 0.552
B5 0.574 0.176 0.896
B6 0.511 0.936 0.845
B7 0.332 0.076 0.903
B8 0.778 0.506 0.438
B9 0.222 0.494 0.562
B10 0.168 0.424 0.403
B11 0.571 0.781 0.970
B12 0.489 0.064 0.155
B13 0.929 0.719 0.470
B14 0.011 0.436 0.655
B15 0.926 0.324 0.396
B16 0.278 0.006 0.062
B17 0.426 0.824 0.104
B18 0.722 0.994 0.938
B19 0.832 0.576 0.597
B20 0.668 0.924 0.097
B21 0.071 0.281 0.530
B22 0.172 0.669 0.448
B23 0.429 0.219 0.030
B24 0.989 0.564 0.345
Na1 0.145 0.024 0.317
Na2 0.355 0.476 0.817
Na3 0.645 0.524 0.183
Na4 0.855 0.976 0.683

Entry from Alexandria: crystalline Na2B2H5 at its relaxed geometry (GGA-PBE).

Total energy (eV/atom): -3.3981

abc: 2.895 7.117 4.982
angles: 124.25 90.00 101.73
Sites, in units of the cell vectors:
Na1 0.349 0.699 0.427
Na2 0.651 0.301 0.573
B1 0.109 0.219 0.027
B2 0.891 0.781 0.973
H1 0.939 0.878 0.271
H2 0.641 0.283 0.115
H3 0.000 0.000 0.000
H4 0.359 0.717 0.885
H5 0.061 0.122 0.729

Entry from Alexandria: crystalline Na3B2H7 at its relaxed geometry (GGA-PBE).

Total energy (eV/atom): -3.1988

abc: 3.215 3.225 10.390
angles: 98.93 90.00 90.00
Sites, in units of the cell vectors:
Na1 0.500 0.667 0.335
Na2 0.500 0.333 0.665
Na3 0.500 0.500 0.000
H1 0.000 0.578 0.155
H2 0.500 0.922 0.845
H3 0.500 0.078 0.155
H4 0.000 0.142 0.285
H5 0.000 0.422 0.845
H6 0.000 0.858 0.715
H7 0.000 0.000 0.000
B1 0.000 0.920 0.840
B2 0.000 0.080 0.160

Entry from Alexandria: crystalline NaBH2 at its relaxed geometry (GGA-PBE).

Total energy (eV/atom): -2.4997
Energy relative to the lowest polymorph listed for this composition (kJ/mol of formula units): 379

abc: 3.702 3.702 3.702
angles: 60.00 60.00 60.00
Sites, in units of the cell vectors:
H1 0.750 0.750 0.750
H2 0.250 0.250 0.250
B1 0.000 0.000 0.000
Na1 0.500 0.500 0.500

Entry from Alexandria: crystalline NaB2H8 at its relaxed geometry (GGA-PBE).

Total energy (eV/atom): -3.5845
Energy relative to the lowest polymorph listed for this composition (kJ/mol of formula units): 227

abc: 2.626 4.298 7.198
angles: 72.63 89.95 89.85
Sites, in units of the cell vectors:
H1 0.001 0.384 0.752
H2 0.646 0.500 0.000
H3 0.001 0.136 0.248
H4 0.354 0.500 0.000
H5 0.500 0.717 0.566
H6 0.500 0.283 0.434
H7 0.999 0.864 0.752
H8 0.999 0.616 0.248
B1 0.000 0.672 0.655
B2 0.000 0.328 0.345
Na1 0.500 0.000 0.000

Entry from Alexandria: crystalline Na2BH at its relaxed geometry (GGA-PBE).

Total energy (eV/atom): -2.2181
Energy relative to the lowest polymorph listed for this composition (kJ/mol of formula units): 0

abc: 6.613 6.613 5.550
angles: 53.43 53.43 90.00
Sites, in units of the cell vectors:
Na1 0.375 0.439 0.750
Na2 0.561 0.125 0.250
Na3 0.189 0.625 0.250
Na4 0.875 0.811 0.750
B1 0.000 0.000 0.000
B2 0.750 0.250 0.500
H1 0.500 0.500 0.000
H2 0.250 0.750 0.500

Entry from Alexandria: crystalline NaBH4 at its relaxed geometry (GGA-PBE).

Total energy (eV/atom): -3.9077

abc: 4.780 7.998 6.479
angles: 90.00 90.00 90.00
Sites, in units of the cell vectors:
H1 0.042 0.374 0.340
H2 0.750 0.415 0.738
H3 0.250 0.585 0.262
H4 0.250 0.114 0.575
H5 0.750 0.085 0.238
H6 0.542 0.626 0.660
H7 0.958 0.626 0.660
H8 0.042 0.126 0.840
H9 0.750 0.886 0.425
H10 0.750 0.614 0.925
H11 0.958 0.874 0.160
H12 0.250 0.386 0.075
H13 0.458 0.126 0.840
H14 0.458 0.374 0.340
H15 0.250 0.915 0.762
H16 0.542 0.874 0.160
B1 0.250 0.068 0.755
B2 0.750 0.568 0.745
B3 0.750 0.932 0.245
B4 0.250 0.432 0.255
Na1 0.250 0.104 0.202
Na2 0.750 0.604 0.298
Na3 0.250 0.396 0.702
Na4 0.750 0.896 0.798

Entry from Alexandria: crystalline NaB2H6 at its relaxed geometry (GGA-PBE).

Total energy (eV/atom): -3.9194
Energy relative to the lowest polymorph listed for this composition (kJ/mol of formula units): 0

abc: 4.653 6.128 6.128
angles: 80.07 67.87 67.87
Sites, in units of the cell vectors:
H1 0.337 0.882 0.615
H2 0.238 0.784 0.971
H3 0.762 0.216 0.029
H4 0.492 0.527 0.716
H5 0.262 0.029 0.216
H6 0.508 0.473 0.284
H7 0.992 0.716 0.527
H8 0.738 0.971 0.784
H9 0.163 0.385 0.118
H10 0.663 0.118 0.385
H11 0.837 0.615 0.882
H12 0.008 0.284 0.473
Na1 0.250 0.248 0.752
Na2 0.750 0.752 0.248
B1 0.647 0.270 0.232
B2 0.147 0.232 0.270
B3 0.853 0.768 0.730
B4 0.353 0.730 0.768

Entry from Alexandria: crystalline NaBH2 at its relaxed geometry (GGA-PBE).

Total energy (eV/atom): -3.4827
Energy relative to the lowest polymorph listed for this composition (kJ/mol of formula units): 0

abc: 4.226 3.932 5.754
angles: 101.75 102.26 95.22
Sites, in units of the cell vectors:
B1 0.481 0.395 0.374
B2 0.180 0.163 0.097
Na1 0.040 0.008 0.581
Na2 0.620 0.553 0.890
H1 0.966 0.007 0.167
H2 0.212 0.481 0.244
H3 0.449 0.078 0.226
H4 0.694 0.552 0.304

Entry from Alexandria: crystalline NaBH4 at its relaxed geometry (GGA-PBE).

Total energy (eV/atom): -3.9034

abc: 4.814 7.168 7.756
angles: 90.00 90.00 90.00
Sites, in units of the cell vectors:
Na1 0.250 0.396 0.650
Na2 0.250 0.104 0.150
Na3 0.750 0.896 0.850
Na4 0.750 0.604 0.350
H1 0.250 0.440 0.142
H2 0.456 0.339 0.348
H3 0.044 0.339 0.348
H4 0.544 0.839 0.152
H5 0.956 0.839 0.152
H6 0.750 0.082 0.135
H7 0.750 0.418 0.635
H8 0.750 0.940 0.358
H9 0.044 0.161 0.848
H10 0.250 0.582 0.365
H11 0.250 0.918 0.865
H12 0.956 0.661 0.652
H13 0.750 0.560 0.858
H14 0.456 0.161 0.848
H15 0.250 0.060 0.642
H16 0.544 0.661 0.652
B1 0.750 0.926 0.201
B2 0.750 0.574 0.701
B3 0.250 0.426 0.299
B4 0.250 0.074 0.799

Copy entry 3 word for word.
Entry from Alexandria: crystalline NaB6H6 at its relaxed geometry (GGA-PBE).

Total energy (eV/atom): -5.0777

abc: 7.010 6.992 10.526
angles: 90.00 90.00 95.54
Sites, in units of the cell vectors:
H1 0.016 0.390 0.765
H2 0.484 0.110 0.265
H3 0.370 0.699 0.177
H4 0.882 0.989 0.898
H5 0.202 0.713 0.913
H6 0.382 0.489 0.602
H7 0.124 0.125 0.552
H8 0.624 0.625 0.948
H9 0.789 0.870 0.167
H10 0.798 0.287 0.087
H11 0.984 0.610 0.235
H12 0.630 0.301 0.823
H13 0.298 0.787 0.413
H14 0.618 0.511 0.398
H15 0.711 0.630 0.667
H16 0.870 0.199 0.323
H17 0.130 0.801 0.677
H18 0.118 0.011 0.102
H19 0.702 0.213 0.587
H20 0.876 0.875 0.448
H21 0.211 0.130 0.833
H22 0.516 0.890 0.735
H23 0.376 0.375 0.052
H24 0.289 0.370 0.333
B1 0.672 0.169 0.052
B2 0.074 0.676 0.604
B3 0.328 0.831 0.948
B4 0.828 0.331 0.552
B5 0.574 0.176 0.896
B6 0.511 0.936 0.845
B7 0.332 0.076 0.903
B8 0.778 0.506 0.438
B9 0.222 0.494 0.562
B10 0.168 0.424 0.403
B11 0.571 0.781 0.970
B12 0.489 0.064 0.155
B13 0.929 0.719 0.470
B14 0.011 0.436 0.655
B15 0.926 0.324 0.396
B16 0.278 0.006 0.062
B17 0.426 0.824 0.104
B18 0.722 0.994 0.938
B19 0.832 0.576 0.597
B20 0.668 0.924 0.097
B21 0.071 0.281 0.530
B22 0.172 0.669 0.448
B23 0.429 0.219 0.030
B24 0.989 0.564 0.345
Na1 0.145 0.024 0.317
Na2 0.355 0.476 0.817
Na3 0.645 0.524 0.183
Na4 0.855 0.976 0.683